The following is a PBE calculation of a geometry-optimized LiTm2Ga6 structure, from Alexandria via LeMat-Bulk.

Computed properties:
Total moment in μB per formula unit: 0.00
Symmetry: P6/mmm (191)

Cell: 7.666 7.666 3.392 Å, 90.00 90.00 120.00°
Atoms (fractional coordinates):
Li 0.000 0.000 0.000
Tm 0.333 0.667 0.000
Tm 0.667 0.333 0.000
Ga 0.670 0.000 0.500
Ga 0.000 0.670 0.500
Ga 0.330 0.000 0.500
Ga 0.670 0.670 0.500
Ga 0.000 0.330 0.500
Ga 0.330 0.330 0.500

---

The following is a PBE calculation of a geometry-optimized LiTmGa4 structure, from Alexandria via LeMat-Bulk.

Computed properties:
Total moment in μB per formula unit: 0.00
Symmetry: F-43m (216)

Cell: 5.425 5.425 5.425 Å, 60.00 60.00 60.00°
Atoms (fractional coordinates):
Tm 0.000 0.000 0.000
Ga 0.625 0.625 0.125
Ga 0.625 0.125 0.625
Ga 0.625 0.625 0.625
Ga 0.125 0.625 0.625
Li 0.250 0.250 0.250

---

The following is a PBE calculation of a geometry-optimized LiTm2Ga4 structure, from Alexandria via LeMat-Bulk.

Computed properties:
Total moment in μB per formula unit: 0.00
Symmetry: Cmmm (65)

Cell: 5.682 5.643 6.404 Å, 116.14 90.00 90.00°
Atoms (fractional coordinates):
Li 0.000 0.500 0.000
Tm 0.500 0.147 0.294
Tm 0.500 0.853 0.706
Ga 0.500 0.605 0.209
Ga 0.000 0.880 0.760
Ga 0.500 0.395 0.791
Ga 0.000 0.120 0.240

---

The following is a PBE calculation of a geometry-optimized LiTm2Ga2 structure, from Alexandria via LeMat-Bulk.

Computed properties:
Total moment in μB per formula unit: 0.00
Symmetry: Ibam (72)

Cell: 5.897 6.326 7.396 Å, 115.32 113.50 90.00°
Atoms (fractional coordinates):
Li 0.750 0.500 0.000
Li 0.250 0.500 0.000
Tm 0.846 0.647 0.692
Tm 0.154 0.353 0.308
Tm 0.654 0.956 0.308
Tm 0.346 0.044 0.692
Ga 0.395 0.632 0.791
Ga 0.605 0.368 0.209
Ga 0.105 0.841 0.209
Ga 0.895 0.159 0.791

---

The following is a PBE calculation of a geometry-optimized Li3TmGa3 structure, from Alexandria via LeMat-Bulk.

Computed properties:
Total moment in μB per formula unit: 0.00
Symmetry: Pm-3n (223)

Cell: 6.616 6.616 6.616 Å, 90.00 90.00 90.00°
Atoms (fractional coordinates):
Tm 0.500 0.500 0.500
Tm 0.000 0.000 0.000
Ga 0.250 0.000 0.500
Ga 0.000 0.500 0.250
Ga 0.500 0.750 0.000
Ga 0.750 0.000 0.500
Ga 0.000 0.500 0.750
Ga 0.500 0.250 0.000
Li 0.000 0.250 0.500
Li 0.000 0.750 0.500
Li 0.500 0.000 0.750
Li 0.750 0.500 0.000
Li 0.500 0.000 0.250
Li 0.250 0.500 0.000

---

The following is a PBE calculation of a geometry-optimized Li2TmGa2 structure, from Alexandria via LeMat-Bulk.

Computed properties:
Energy relative to the lowest polymorph listed for this composition in meV/atom: 0
Total moment in μB per formula unit: 0.00
Symmetry: Imma (74)

Cell: 4.460 3.444 12.874 Å, 97.69 99.97 90.00°
Atoms (fractional coordinates):
Li 0.544 0.294 0.089
Li 0.942 0.192 0.884
Li 0.456 0.706 0.911
Li 0.058 0.808 0.116
Tm 0.827 0.577 0.654
Tm 0.173 0.423 0.346
Ga 0.724 0.974 0.447
Ga 0.276 0.026 0.553
Ga 0.378 0.128 0.756
Ga 0.622 0.872 0.244

---

The following is a PBE calculation of a geometry-optimized LiTm7Ga4 structure, from Alexandria via LeMat-Bulk.

Computed properties:
Total moment in μB per formula unit: 0.00
Symmetry: C2/m (12)

Cell: 5.290 8.782 7.267 Å, 78.03 68.66 72.47°
Atoms (fractional coordinates):
Li 0.000 0.000 0.000
Tm 0.782 0.880 0.556
Tm 0.218 0.120 0.444
Tm 0.064 0.639 0.233
Tm 0.936 0.361 0.767
Tm 0.319 0.619 0.743
Tm 0.500 0.000 0.000
Tm 0.681 0.381 0.257
Ga 0.561 0.229 0.650
Ga 0.439 0.771 0.350
Ga 0.691 0.667 0.950
Ga 0.309 0.333 0.050

---

The following is a PBE calculation of a geometry-optimized Li2TmGa2 structure, from Alexandria via LeMat-Bulk.

Computed properties:
Energy relative to the lowest polymorph listed for this composition in meV/atom: 58
Total moment in μB per formula unit: 0.00
Symmetry: P2_1/m (11)

Cell: 3.309 4.541 12.513 Å, 90.07 90.00 90.00°
Atoms (fractional coordinates):
Li 0.250 0.752 0.864
Li 0.750 0.248 0.136
Li 0.250 0.250 0.521
Li 0.750 0.750 0.479
Tm 0.250 0.749 0.251
Tm 0.750 0.251 0.749
Ga 0.250 0.751 0.655
Ga 0.750 0.249 0.345
Ga 0.250 0.251 0.962
Ga 0.750 0.749 0.038

---

The following is a PBE calculation of a geometry-optimized Li2TmGa structure, from Alexandria via LeMat-Bulk.

Computed properties:
Energy relative to the lowest polymorph listed for this composition in meV/atom: 18
Total moment in μB per formula unit: 0.00
Symmetry: Fm-3m (225)

Cell: 4.626 4.626 4.626 Å, 60.00 60.00 60.00°
Atoms (fractional coordinates):
Tm 0.000 0.000 0.000
Ga 0.500 0.500 0.500
Li 0.250 0.250 0.250
Li 0.750 0.750 0.750

---

The following is a PBE calculation of a geometry-optimized LiTm3Ga4 structure, from Alexandria via LeMat-Bulk.

Computed properties:
Total moment in μB per formula unit: 0.00
Symmetry: R-3m (166)

Cell: 4.856 4.856 8.610 Å, 73.62 73.62 60.00°
Atoms (fractional coordinates):
Tm 0.256 0.256 0.232
Tm 0.744 0.744 0.768
Tm 0.500 0.500 0.500
Ga 0.876 0.876 0.371
Ga 0.374 0.374 0.877
Ga 0.124 0.124 0.629
Ga 0.626 0.626 0.123
Li 0.000 0.000 0.000

---

The following is a PBE calculation of a geometry-optimized LiTm3Ga2 structure, from Alexandria via LeMat-Bulk.

Computed properties:
Energy relative to the lowest polymorph listed for this composition in meV/atom: 123
Total moment in μB per formula unit: 0.00
Symmetry: C2/c (15)

Cell: 6.100 7.913 6.958 Å, 106.38 116.00 90.00°
Atoms (fractional coordinates):
Li 0.733 0.750 0.000
Li 0.267 0.250 0.000
Tm 0.769 0.250 0.000
Tm 0.231 0.750 0.000
Tm 0.214 0.105 0.413
Tm 0.801 0.395 0.587
Tm 0.199 0.605 0.413
Tm 0.786 0.895 0.587
Ga 0.614 0.557 0.232
Ga 0.618 0.057 0.232
Ga 0.382 0.943 0.768
Ga 0.386 0.443 0.768

---

The following is a PBE calculation of a geometry-optimized LiTmGa6 structure, from Alexandria via LeMat-Bulk.

Computed properties:
Total moment in μB per formula unit: 0.00
Symmetry: P4/mmm (123)

Cell: 4.192 4.192 8.174 Å, 90.00 90.00 90.00°
Atoms (fractional coordinates):
Li 0.000 0.000 0.500
Tm 0.000 0.000 0.000
Ga 0.500 0.500 0.000
Ga 0.500 0.500 0.500
Ga 0.500 0.000 0.267
Ga 0.500 0.000 0.733
Ga 0.000 0.500 0.267
Ga 0.000 0.500 0.733

---

In the order shown, the computed energy relative to the elements values come out to -3.98; -2.04; 0.48; -1.28; 1.53; -1.86; -2.36; -1.58; -0.96; -4.05; -1.73; -2.59 eV/f.u..